Record 1
A geometry-optimized LaBe2 structure. Source: the Alexandria database, functional PBE.

Cell: 3.1736 4.5897 7.9147 Å, 90.00 90.00 90.00°
Closest atoms and distances in Å follow each position.
Space group Immm (No. 71)
Symmetry-distinct sites (fractional):
La1 0.0000 0.0000 0.0000 x2  10 Be 2.83-3.01
Be1 0.0000 0.0000 0.3578 x4  1 Be 2.25

## Properties
The spin magnetization is 0.0 μB/cell. For the formation enthalpy at 0 K, the calculation gives 0.60 eV/atom. The excess energy over the best structure of this formula in the dataset comes out at 528 meV/atom. The calculation puts the uncorrected energy at -3.52 eV per atom. The value obtained for the density of states at the Fermi level is 0.6555 states/eV per atom.

=====

Record 2
A geometry-optimized La3Be2 structure. Source: the Alexandria database, functional PBE.

Cell: 4.9130 4.9130 6.2121 Å, 90.00 90.00 120.00°
Closest atoms and distances in Å follow each position.
Space group P-3m1 (No. 164)
Symmetry-distinct sites (fractional):
La1 0.0000 0.0000 0.0000 x1  6 Be 2.94
La2 0.3333 0.6667 0.3758 x2  5 Be 3.10-3.24, 3 La 3.23
Be1 0.3333 0.6667 0.8748 x2  8 La 2.94-3.24, 3 Be 3.24

## Properties
The spin magnetization is 0.0 μB/cell. For the formation enthalpy at 0 K, the calculation gives 0.24 eV/atom. The excess energy over the best structure of this formula in the dataset comes out at 0 meV/atom. The calculation puts the uncorrected energy at -4.20 eV per atom. The value obtained for the density of states at the Fermi level is 0.8957 states/eV per atom.

=====

Record 3
A geometry-optimized LaBe2 structure. Source: the Alexandria database, functional PBE.

Cell: 5.5566 5.5566 7.5864 Å, 90.00 90.00 120.00°
Closest atoms and distances in Å follow each position.
Space group P6_3/mmc (No. 194)
Symmetry-distinct sites (fractional):
La1 0.3333 0.6667 0.0428 x4  12 Be 2.98-3.22, 4 La 3.14-3.27
Be1 0.0000 0.0000 0.0000 x2  6 Be 2.25
Be2 0.1267 0.2533 0.7500 x6  4 Be 2.11-2.25

## Properties
The spin magnetization is 0.0 μB/cell. For the formation enthalpy at 0 K, the calculation gives 0.08 eV/atom. The excess energy over the best structure of this formula in the dataset comes out at 0 meV/atom. The calculation puts the uncorrected energy at -4.05 eV per atom. The value obtained for the density of states at the Fermi level is 0.4935 states/eV per atom.

=====

Q: spin magnetization of number 2 (La3Be2)?
A: 0.0 μB/cell